TiVC2 | the Alexandria database | PBE | optimized geometry; electronic total energy = -33.82 eV for the cell shown; D(E_F) = 4.33 states/eV/cell; energy of formation = 1.64 eV per formula unit; space group = Fm-3m (225); magnetic moment = 0.065 μB per atom
1.0
0.0000 2.6533 2.6533
2.6533 0.0000 2.6533
2.6533 2.6533 0.0000
Ti V C
1 1 2
Direct
0.0000 0.0000 0.0000
0.5000 0.5000 0.5000
0.2500 0.2500 0.2500
0.7500 0.7500 0.7500

***

TiV2ZnC | the Alexandria database | PBE | optimized geometry; electronic total energy = -38.02 eV for the cell shown; D(E_F) = 3.54 states/eV/cell; energy of formation = -1.39 eV per formula unit; space group = P4/mmm (123); magnetic moment = 0.000 μB per atom
1.0
3.9679 0.0000 0.0000
0.0000 3.9679 0.0000
0.0000 0.0000 4.1800
Ti V Zn C
1 2 1 1
Direct
0.0000 0.0000 0.0000
0.0000 0.5000 0.5000
0.5000 0.0000 0.5000
0.5000 0.5000 0.0000
0.0000 0.0000 0.5000

***

ZrTi2VC | the Alexandria database | PBE | optimized geometry; electronic total energy = -43.70 eV for the cell shown; D(E_F) = 5.76 states/eV/cell; energy of formation = -1.02 eV per formula unit; space group = P4/mmm (123); energy above the lowest structure with this stoichiometry = 0 meV/atom; magnetic moment = 0.000 μB per atom
1.0
4.3133 0.0000 0.0000
0.0000 4.3133 0.0000
0.0000 0.0000 4.0803
Zr Ti V C
1 2 1 1
Direct
0.0000 0.0000 0.0000
0.0000 0.5000 0.5000
0.5000 0.0000 0.5000
0.5000 0.5000 0.0000
0.5000 0.5000 0.5000

***

ZrTi2VC | the Alexandria database | PBE | optimized geometry; electronic total energy = -29.98 eV for the cell shown; D(E_F) = 6.01 states/eV/cell; energy of formation = 12.70 eV per formula unit; space group = P4/mmm (123); energy above the lowest structure with this stoichiometry = 2744 meV/atom; magnetic moment = 0.470 μB per atom
1.0
4.8262 0.0000 0.0000
0.0000 4.8262 0.0000
0.0000 0.0000 4.5396
Zr Ti V C
1 2 1 1
Direct
0.0000 0.0000 0.0000
0.0000 0.5000 0.0000
0.5000 0.0000 0.0000
0.0000 0.0000 0.5000
0.5000 0.5000 0.5000

***

Ti5WC5 | the Alexandria database | PBE | optimized geometry; electronic total energy = -106.16 eV for the cell shown; D(E_F) = 4.89 states/eV/cell; energy of formation = -7.62 eV per formula unit; space group = C2/m (12); magnetic moment = 0.000 μB per atom
1.0
4.8548 -2.1635 0.0000
4.8548 2.1635 0.0000
-1.9560 0.0000 5.8125
Ti W C
5 1 5
Direct
0.0000 0.0000 0.0000
0.3206 0.3206 0.1692
0.3296 0.3296 0.6541
0.6704 0.6704 0.3459
0.6794 0.6794 0.8308
0.0000 0.0000 0.5000
0.1664 0.1664 0.8356
0.1670 0.1670 0.3323
0.5000 0.5000 0.5000
0.8330 0.8330 0.6677
0.8336 0.8336 0.1644

***

Ti4WC5 | the Alexandria database | PBE | optimized geometry; electronic total energy = -97.15 eV for the cell shown; D(E_F) = 3.01 states/eV/cell; energy of formation = -6.50 eV per formula unit; space group = R-3m (166); magnetic moment = 0.000 μB per atom
1.0
1.5327 0.8849 12.6047
-1.5327 0.8849 12.6047
0.0000 -1.7698 12.6047
Ti W C
4 1 5
Direct
0.0986 0.0986 0.0986
0.3006 0.3006 0.3006
0.6994 0.6994 0.6994
0.9014 0.9014 0.9014
0.5000 0.5000 0.5000
0.0000 0.0000 0.0000
0.2001 0.2001 0.2001
0.4000 0.4000 0.4000
0.6000 0.6000 0.6000
0.7999 0.7999 0.7999

***

| no. | volume (Å³ per cell) |
| --- | --- |
| 1 | 37.36 |
| 2 | 65.81 |
| 3 | 75.91 |
| 4 | 105.74 |
| 5 | 122.10 |
| 6 | 102.57 |